! K3La2PmS6 PBE optimized geometry; values from VASP
! Uncorrected formation energy (meV/atom): -1901.2
! Spin magnetization (μB per formula unit): 0.0
! Volume (Å³/atom): 28.87
! Space-group type: C2/m (12)
&SYSTEM
  ibrav = 0, nat = 12, ntyp = 4
/
ATOMIC_SPECIES
La 138.91 La.upf
S 32.06 S.upf
Pm 145.00 Pm.upf
K 39.10 K.upf
CELL_PARAMETERS angstrom
7.365 -0.001 0.000
-3.682 6.379 0.000
-1.228 -2.127 7.375
ATOMIC_POSITIONS crystal
La 0.667 0.333 0.000
La 0.333 0.667 0.000
S 0.603 0.931 0.793
S 0.259 0.259 0.793
S 0.741 0.741 0.207
S 0.931 0.603 0.793
S 0.069 0.397 0.207
S 0.397 0.069 0.207
Pm 0.000 0.000 0.000
K 0.167 0.833 0.500
K 0.500 0.500 0.500
K 0.833 0.167 0.500